# SnIN2O, optimized geometry, DFT PBE
# - VASP energy (eV per atom) = -3.4726
# - total magnetic moment (μB per formula unit) = 3.04
# - SG = P4/mmm
# - V (Å³/atom) = 16.96
# - formation energy (no corrections) (eV/f.u.) = 9.80
# - D(E_F) (states/eV per cell) = 2.4
data_SnIN2O
_chemical_formula_sum 'Sn1 I1 N2 O1'
_cell_length_a 4.456
_cell_length_b 4.456
_cell_length_c 4.269
_cell_angle_alpha 90.00
_cell_angle_beta 90.00
_cell_angle_gamma 90.00
_space_group_name_H-M_alt 'P 1'
_space_group_IT_number 1
loop_
_space_group_symop_operation_xyz
'x,y,z'
loop_
_atom_site_label
_atom_site_fract_x
_atom_site_fract_y
_atom_site_fract_z
_atom_site_occupancy
Sn1 0.000 0.000 0.000 1
I1 0.500 0.500 0.000 1
N1 0.000 0.500 0.500 1
N2 0.500 0.000 0.500 1
O1 0.500 0.500 0.500 1


# SrINO2, optimized geometry, DFT PBE
# - VASP energy (eV per atom) = -3.4448
# - total magnetic moment (μB per formula unit) = 0.61
# - SG = P4/mmm
# - V (Å³/atom) = 21.87
# - formation energy (no corrections) (eV/f.u.) = 4.25
# - D(E_F) (states/eV per cell) = 10.6
data_SrINO2
_chemical_formula_sum 'Sr1 I1 N1 O2'
_cell_length_a 4.635
_cell_length_b 4.635
_cell_length_c 5.091
_cell_angle_alpha 90.00
_cell_angle_beta 90.00
_cell_angle_gamma 90.00
_space_group_name_H-M_alt 'P 1'
_space_group_IT_number 1
loop_
_space_group_symop_operation_xyz
'x,y,z'
loop_
_atom_site_label
_atom_site_fract_x
_atom_site_fract_y
_atom_site_fract_z
_atom_site_occupancy
Sr1 0.000 0.000 0.000 1
I1 0.500 0.500 0.500 1
N1 0.000 0.000 0.500 1
O1 0.000 0.500 0.000 1
O2 0.500 0.000 0.000 1


# SrINO2, optimized geometry, DFT PBE
# - VASP energy (eV per atom) = -4.0542
# - total magnetic moment (μB per formula unit) = 0.00
# - SG = P4/mmm
# - V (Å³/atom) = 16.35
# - formation energy (no corrections) (eV/f.u.) = 1.20
# - D(E_F) (states/eV per cell) = 2.6
data_SrINO2
_chemical_formula_sum 'Sr1 I1 N1 O2'
_cell_length_a 4.423
_cell_length_b 4.423
_cell_length_c 4.179
_cell_angle_alpha 90.00
_cell_angle_beta 90.00
_cell_angle_gamma 90.00
_space_group_name_H-M_alt 'P 1'
_space_group_IT_number 1
loop_
_space_group_symop_operation_xyz
'x,y,z'
loop_
_atom_site_label
_atom_site_fract_x
_atom_site_fract_y
_atom_site_fract_z
_atom_site_occupancy
Sr1 0.000 0.000 0.000 1
I1 0.500 0.500 0.000 1
N1 0.500 0.500 0.500 1
O1 0.000 0.500 0.500 1
O2 0.500 0.000 0.500 1


# SrINO2, optimized geometry, DFT PBE
# - VASP energy (eV per atom) = -4.7892
# - total magnetic moment (μB per formula unit) = 0.00
# - SG = P4/mmm
# - V (Å³/atom) = 15.30
# - formation energy (no corrections) (eV/f.u.) = -2.47
# - D(E_F) (states/eV per cell) = 1.1
data_SrINO2
_chemical_formula_sum 'Sr1 I1 N1 O2'
_cell_length_a 4.309
_cell_length_b 4.309
_cell_length_c 4.121
_cell_angle_alpha 90.00
_cell_angle_beta 90.00
_cell_angle_gamma 90.00
_space_group_name_H-M_alt 'P 1'
_space_group_IT_number 1
loop_
_space_group_symop_operation_xyz
'x,y,z'
loop_
_atom_site_label
_atom_site_fract_x
_atom_site_fract_y
_atom_site_fract_z
_atom_site_occupancy
Sr1 0.000 0.000 0.000 1
I1 0.500 0.500 0.500 1
N1 0.500 0.500 0.000 1
O1 0.000 0.500 0.500 1
O2 0.500 0.000 0.500 1


# SrINO2, optimized geometry, DFT PBE
# - VASP energy (eV per atom) = -3.6509
# - total magnetic moment (μB per formula unit) = 4.37
# - SG = P4/mmm
# - V (Å³/atom) = 30.46
# - formation energy (no corrections) (eV/f.u.) = 3.22
# - D(E_F) (states/eV per cell) = 3.9
data_SrINO2
_chemical_formula_sum 'Sr1 I1 N1 O2'
_cell_length_a 4.576
_cell_length_b 4.576
_cell_length_c 7.273
_cell_angle_alpha 90.00
_cell_angle_beta 90.00
_cell_angle_gamma 90.00
_space_group_name_H-M_alt 'P 1'
_space_group_IT_number 1
loop_
_space_group_symop_operation_xyz
'x,y,z'
loop_
_atom_site_label
_atom_site_fract_x
_atom_site_fract_y
_atom_site_fract_z
_atom_site_occupancy
Sr1 0.000 0.000 0.000 1
I1 0.000 0.000 0.500 1
N1 0.500 0.500 0.500 1
O1 0.000 0.500 0.000 1
O2 0.500 0.000 0.000 1


# TaI2NO, optimized geometry, DFT PBE
# - VASP energy (eV per atom) = -5.1896
# - total magnetic moment (μB per formula unit) = 1.90
# - SG = P4/mmm
# - V (Å³/atom) = 24.75
# - formation energy (no corrections) (eV/f.u.) = 2.29
# - D(E_F) (states/eV per cell) = 2.3
# - distance to the lowest polymorph of the same formula (meV per atom) = 210
data_TaI2NO
_chemical_formula_sum 'Ta1 I2 N1 O1'
_cell_length_a 5.628
_cell_length_b 5.628
_cell_length_c 3.907
_cell_angle_alpha 90.00
_cell_angle_beta 90.00
_cell_angle_gamma 90.00
_space_group_name_H-M_alt 'P 1'
_space_group_IT_number 1
loop_
_space_group_symop_operation_xyz
'x,y,z'
loop_
_atom_site_label
_atom_site_fract_x
_atom_site_fract_y
_atom_site_fract_z
_atom_site_occupancy
Ta1 0.000 0.000 0.000 1
I1 0.000 0.500 0.000 1
I2 0.500 0.000 0.000 1
N1 0.000 0.000 0.500 1
O1 0.500 0.500 0.500 1


# TaI2NO, optimized geometry, DFT PBE
# - VASP energy (eV per atom) = -5.3993
# - total magnetic moment (μB per formula unit) = 2.75
# - SG = P4/mmm
# - V (Å³/atom) = 24.91
# - formation energy (no corrections) (eV/f.u.) = 1.24
# - D(E_F) (states/eV per cell) = 2.2
# - distance to the lowest polymorph of the same formula (meV per atom) = 0
data_TaI2NO
_chemical_formula_sum 'Ta1 I2 N1 O1'
_cell_length_a 5.653
_cell_length_b 5.653
_cell_length_c 3.898
_cell_angle_alpha 90.00
_cell_angle_beta 90.00
_cell_angle_gamma 90.00
_space_group_name_H-M_alt 'P 1'
_space_group_IT_number 1
loop_
_space_group_symop_operation_xyz
'x,y,z'
loop_
_atom_site_label
_atom_site_fract_x
_atom_site_fract_y
_atom_site_fract_z
_atom_site_occupancy
Ta1 0.000 0.000 0.000 1
I1 0.000 0.500 0.000 1
I2 0.500 0.000 0.000 1
N1 0.500 0.500 0.500 1
O1 0.000 0.000 0.500 1


# TaIN2O, optimized geometry, DFT PBE
# - VASP energy (eV per atom) = -6.3655
# - total magnetic moment (μB per formula unit) = 0.69
# - SG = P4/mmm
# - V (Å³/atom) = 18.24
# - formation energy (no corrections) (eV/f.u.) = 3.18
# - D(E_F) (states/eV per cell) = 2.5
data_TaIN2O
_chemical_formula_sum 'Ta1 I1 N2 O1'
_cell_length_a 3.892
_cell_length_b 3.892
_cell_length_c 6.020
_cell_angle_alpha 90.00
_cell_angle_beta 90.00
_cell_angle_gamma 90.00
_space_group_name_H-M_alt 'P 1'
_space_group_IT_number 1
loop_
_space_group_symop_operation_xyz
'x,y,z'
loop_
_atom_site_label
_atom_site_fract_x
_atom_site_fract_y
_atom_site_fract_z
_atom_site_occupancy
Ta1 0.000 0.000 0.000 1
I1 0.000 0.000 0.500 1
N1 0.000 0.500 0.000 1
N2 0.500 0.000 0.000 1
O1 0.500 0.500 0.500 1